# 1
Na2TbPm3Se6 (GGA-PBE, optimized geometry); SG = No. 12; N(E_F) = 3.32 states/eV/f.u.; energy = -5.27 eV/atom
1.0
3.625 -6.272 0.000
3.625 6.272 0.000
-2.406 0.000 6.863
Na Tb Pm Se
2 1 3 6
Direct
0.166 0.834 0.000
0.834 0.166 0.000
0.500 0.500 0.000
0.000 0.000 0.500
0.330 0.670 0.500
0.670 0.330 0.500
0.090 0.418 0.754
0.257 0.257 0.251
0.418 0.090 0.754
0.582 0.910 0.246
0.743 0.743 0.749
0.910 0.582 0.246

***

# 2
Na2TbPmSe4 (GGA-PBE, optimized geometry); SG = No. 10; N(E_F) = 0.00 states/eV/f.u.; energy = -4.94 eV/atom
1.0
7.289 0.000 0.000
0.000 4.208 0.000
-2.431 0.000 7.015
Na Tb Pm Se
2 1 1 4
Direct
0.000 0.000 0.000
0.500 0.500 0.000
0.000 0.500 0.500
0.500 0.000 0.500
0.239 0.000 0.731
0.251 0.500 0.266
0.749 0.500 0.734
0.761 0.000 0.269

***

# 3
NaTb4PmSe8 (GGA-PBE, optimized geometry); SG = No. 160; N(E_F) = 0.00 states/eV/f.u.; energy = -5.52 eV/atom
1.0
4.250 2.454 7.013
-4.250 2.454 7.013
0.000 -4.907 7.013
Na Tb Pm Se
1 4 1 8
Direct
0.000 0.000 0.000
0.369 0.369 0.888
0.369 0.888 0.369
0.748 0.748 0.748
0.888 0.369 0.369
0.369 0.369 0.369
0.130 0.130 0.595
0.130 0.595 0.130
0.134 0.134 0.134
0.146 0.619 0.619
0.595 0.130 0.130
0.615 0.615 0.615
0.619 0.146 0.619
0.619 0.619 0.146

***

# 4
Na3Tb2PmSe6 (GGA-PBE, optimized geometry); SG = No. 12; N(E_F) = 0.00 states/eV/f.u.; energy = -4.94 eV/atom
1.0
3.633 -6.292 0.000
3.633 6.292 0.000
-2.423 0.000 7.010
Na Tb Pm Se
3 2 1 6
Direct
0.000 0.000 0.000
0.334 0.666 0.000
0.666 0.334 0.000
0.167 0.833 0.500
0.833 0.167 0.500
0.500 0.500 0.500
0.084 0.423 0.268
0.239 0.239 0.732
0.423 0.084 0.268
0.577 0.916 0.732
0.761 0.761 0.268
0.916 0.577 0.732